BeCrRe: relaxed, PBE-GGA.

Calculated values
- Formation energy: 0.1612 eV/atom
- Distance to the lowest polymorph of the same formula: 316.9 meV/atom
- V: 12.1 A^3/atom

```
BeCrRe
1.0
-4.337 -4.197 -0.260
-2.351 -5.116 -1.648
0.010 -1.199 2.298
Re Be Cr
1 1 1
Cartesian
-4.420 -6.565 -0.484 Re
-6.664 -9.284 -1.892 Be
-2.283 -3.976 0.858 Cr
```